(1)
LiCuOs2 | GGA-PBEsol | relaxed

Energy = -29.79 eV per cell
Symmetry = Pmm2 (25)
Formation enthalpy at 0 K = 22.6 kJ per mole of atoms
Total moment = 0.0 μB per cell
Energy above the lowest structure with this stoichiometry = 0 meV per atom
Crystal system = orthorhombic

Lattice parameters (Å, degrees): 2.6636 3.8229 5.1992 90.00 90.00 90.00
Element x y z (fractional)
Li  0.0000  0.0000  0.0000
Cu  0.5000  0.5000  0.7971
Os  0.0000  0.0000  0.4983
Os  0.5000  0.5000  0.2980

(2)
KSb | GGA-PBEsol | relaxed

ΔE_f (raw) = -0.14 eV per atom
Energy = -11.94 eV per cell
Symmetry = P6_3/mmc (194)
Total moment = 0.0 μB per cell
Energy above the lowest structure with this stoichiometry = 279 meV per atom
Crystal system = hexagonal

Lattice parameters (Å, degrees): 3.5456 3.5456 11.4637 90.00 90.00 120.00
Element x y z (fractional)
K  0.0000  0.0000  0.0000
K  0.0000  0.0000  0.5000
Sb  0.3333  0.6667  0.2500
Sb  0.6667  0.3333  0.7500

(3)
Ru2PbSe | GGA-PBEsol | relaxed

ΔE_f (raw) = 0.57 eV per atom
Energy = -25.93 eV per cell
Symmetry = P2/m (10)
Total moment = 0.0 μB per cell
Energy above the lowest structure with this stoichiometry = 328 meV per atom
Crystal system = monoclinic

Lattice parameters (Å, degrees): 3.0238 3.9223 6.1609 90.00 99.90 90.00
Element x y z (fractional)
Ru  0.1850  0.0000  0.3153
Ru  0.8150  0.0000  0.6847
Pb  0.5000  0.5000  0.0000
Se  0.0000  0.5000  0.5000

(4)
BaZnNiF7 | GGA-PBEsol | relaxed

ΔE_f (raw) = -2.52 eV per atom
Energy = -194.25 eV per cell
Symmetry = P2_1/c (14)
Total moment = 4.0 μB per cell
Crystal system = monoclinic

Lattice parameters (Å, degrees): 5.4703 9.8630 9.3618 90.00 92.17 90.00
Element x y z (fractional)
Ba  0.2422  0.1844  0.4979
Ba  0.2422  0.3156  0.9979
Ba  0.7578  0.6844  0.0021
Ba  0.7578  0.8156  0.5021
Zn  0.2014  0.6007  0.3095
Zn  0.2014  0.8993  0.8095
Zn  0.7986  0.1007  0.1905
Zn  0.7986  0.3993  0.6905
Ni  0.3047  0.6140  0.6874
Ni  0.3047  0.8860  0.1874
Ni  0.6953  0.1140  0.8126
Ni  0.6953  0.3860  0.3126
F  0.0287  0.7010  0.7508
F  0.0287  0.7990  0.2508
F  0.1269  0.5461  0.1166
F  0.1269  0.9539  0.6166
F  0.1309  0.0550  0.1275
F  0.1309  0.4450  0.6275
F  0.2447  0.6893  0.5114
F  0.2447  0.8107  0.0114
F  0.3780  0.5468  0.8608
F  0.3780  0.9532  0.3608
F  0.4002  0.0573  0.8774
F  0.4002  0.4427  0.3774
F  0.4868  0.7183  0.2533
F  0.4868  0.7817  0.7533
F  0.5132  0.2183  0.2467
F  0.5132  0.2817  0.7467
F  0.5998  0.5573  0.6226
F  0.5998  0.9427  0.1226
F  0.6220  0.0468  0.6392
F  0.6220  0.4532  0.1392
F  0.7553  0.1893  0.9886
F  0.7553  0.3107  0.4886
F  0.8691  0.5550  0.3725
F  0.8691  0.9450  0.8725
F  0.8731  0.0461  0.3834
F  0.8731  0.4539  0.8834
F  0.9713  0.2010  0.7492
F  0.9713  0.2990  0.2492

(5)
AlHgBr | GGA-PBEsol | relaxed

ΔE_f (raw) = -0.09 eV per atom
Energy = -6.80 eV per cell
Symmetry = Fmm2 (42)
Total moment = 0.0 μB per cell
Energy above the lowest structure with this stoichiometry = 0 meV per atom
Crystal system = orthorhombic

Lattice parameters (Å, degrees): 8.0573 7.7050 3.3793 83.53 71.84 24.63
Element x y z (fractional)
Al  0.0000  0.0000  0.0000
Hg  0.6575  0.6575  0.3425
Br  0.3745  0.3745  0.6255

(6)
AgOs2Pt | GGA-PBEsol | relaxed

Energy = -33.04 eV per cell
Symmetry = R-3m (166)
Formation enthalpy at 0 K = 40.3 kJ per mole of atoms
Total moment = 0.0 μB per cell
Crystal system = trigonal

Lattice parameters (Å, degrees): 9.2592 9.2592 9.2592 16.94 16.94 16.94
Element x y z (fractional)
Ag  0.0000  0.0000  0.0000
Os  0.2472  0.2472  0.2472
Os  0.7528  0.7528  0.7528
Pt  0.5000  0.5000  0.5000